DFT (GGA-PBE) results for PaHgW after structural relaxation.

The space group is P4/nmm (No. 129, origin choice 2) and the conventional cell measures 3.1813, 3.1813 and 12.9088 Å, with angles of 90.00, 90.00 and 90.00 degrees. The distinct sites, in fractional coordinates, are Pa at (0.2500, 0.2500, 0.2173), Hg at (0.2500, 0.2500, 0.5901) and W at (0.2500, 0.2500, 0.9416).

As for the total energy: -45.1 eV for the cell shown. Its calculated volume is 21.774 Å³/atom. As for the formation energy: 62 meV/atom. The total magnetic moment comes out at 0.00 μB per cell.